# 1
An optimized crystal structure of ThCuGe2Au. Source: Alexandria via LeMat-Bulk, functional PBE.

Geometry as extended XYZ:
```
5
Lattice="-2.132 2.132 5.344 2.132 -2.132 5.344 2.132 2.132 -5.344" Properties=species:S:1:pos:R:3 pbc="T T T"
Th 0.000 0.000 0.000
Cu 2.132 0.000 2.672
Ge 0.000 0.000 4.105
Ge 0.000 0.000 6.583
Au 0.000 2.132 2.672
```

Calculated values
Symmetry ... I-4m2, No. 119
Energy of formation from the pure elements ... -459 meV/atom
E_tot ... -5.26 eV/atom

***

# 2
An optimized crystal structure of VCuGeAu. Source: Alexandria via LeMat-Bulk, functional PBE.

Geometry as extended XYZ:
```
4
Lattice="0.000 3.124 3.124 3.124 0.000 3.124 3.124 3.124 0.000" Properties=species:S:1:pos:R:3 pbc="T T T"
V 0.000 0.000 0.000
Cu 3.124 3.124 3.124
Ge 4.687 4.687 4.687
Au 1.562 1.562 1.562
```

Calculated values
Symmetry ... F-43m, No. 216
Energy of formation from the pure elements ... 66 meV/atom
E_tot ... -5.21 eV/atom

***

# 3
An optimized crystal structure of Y2Cu3Ge4Au. Source: Alexandria via LeMat-Bulk, functional PBE.

Geometry as extended XYZ:
```
10
Lattice="4.200 0.000 0.000 0.000 4.200 0.000 0.000 0.000 10.209" Properties=species:S:1:pos:R:3 pbc="T T T"
Y 0.000 2.100 2.512
Y 2.100 0.000 7.697
Cu 0.000 2.100 8.906
Cu 2.100 0.000 1.302
Cu 2.100 2.100 5.104
Ge 0.000 0.000 0.000
Ge 0.000 2.100 6.567
Ge 2.100 0.000 3.642
Ge 2.100 2.100 0.000
Au 0.000 0.000 5.104
```

Calculated values
Symmetry ... P-4m2, No. 115
Energy of formation from the pure elements ... -472 meV/atom
E_tot ... -5.17 eV/atom

***

# 4
An optimized crystal structure of YCuGe2Au. Source: Alexandria via LeMat-Bulk, functional PBE.

Geometry as extended XYZ:
```
5
Lattice="-2.101 2.101 5.309 2.101 -2.101 5.309 2.101 2.101 -5.309" Properties=species:S:1:pos:R:3 pbc="T T T"
Y 0.000 0.000 0.000
Cu 2.101 0.000 2.654
Ge 0.000 0.000 4.089
Ge 0.000 0.000 6.529
Au 0.000 2.101 2.654
```

Calculated values
Symmetry ... I-4m2, No. 119
Energy of formation from the pure elements ... -473 meV/atom
E_tot ... -5.09 eV/atom

***

# 5
An optimized crystal structure of Zn2Cu5Ge2Au3. Source: Alexandria via LeMat-Bulk, functional PBE.

Geometry as extended XYZ:
```
12
Lattice="-1.928 1.928 12.640 1.928 -1.928 12.640 1.928 1.928 -12.640" Properties=species:S:1:pos:R:3 pbc="T T T"
Zn 0.000 0.000 5.972
Zn 0.000 0.000 19.308
Cu 0.000 0.000 0.000
Cu 1.928 0.000 1.883
Cu 1.928 0.000 10.757
Cu 0.000 1.928 1.883
Cu 0.000 1.928 10.757
Ge 0.000 0.000 3.506
Ge 0.000 0.000 21.774
Au 0.000 0.000 8.552
Au 0.000 0.000 12.640
Au 0.000 0.000 16.728
```

Calculated values
Symmetry ... I4/mmm, No. 139
Energy of formation from the pure elements ... 36 meV/atom
E_tot ... -3.47 eV/atom

***

# 6
An optimized crystal structure of ZnCu7Ge2Au2. Source: Alexandria via LeMat-Bulk, functional PBE.

Geometry as extended XYZ:
```
12
Lattice="2.500 -2.500 0.000 2.500 2.500 0.000 -2.203 0.000 14.251" Properties=species:S:1:pos:R:3 pbc="T T T"
Zn 0.000 0.000 0.000
Cu 1.272 1.244 1.909
Cu 0.150 0.000 7.638
Cu 1.524 1.244 12.342
Cu 2.500 0.000 0.000
Cu 1.272 -1.244 1.909
Cu 2.646 0.000 6.613
Cu 1.524 -1.244 12.342
Ge 0.070 0.000 5.202
Ge 2.726 0.000 9.049
Au 0.232 0.000 10.323
Au 2.564 0.000 3.928
```

Calculated values
Symmetry ... C2/m, No. 12
Energy of formation from the pure elements ... 64 meV/atom
E_tot ... -3.75 eV/atom

***

# 7
An optimized crystal structure of Zn2CuGeAu4. Source: Alexandria via LeMat-Bulk, functional PBE.

Geometry as extended XYZ:
```
8
Lattice="2.234 1.290 7.741 -2.234 1.290 7.741 0.000 -2.580 7.741" Properties=species:S:1:pos:R:3 pbc="T T T"
Zn 0.000 0.000 5.655
Zn 0.000 0.000 17.567
Cu 0.000 0.000 11.611
Ge 0.000 0.000 0.000
Au 0.000 0.000 2.952
Au 0.000 0.000 8.837
Au 0.000 0.000 14.385
Au 0.000 0.000 20.270
```

Calculated values
Symmetry ... R-3m, No. 166
Energy of formation from the pure elements ... -65 meV/atom
E_tot ... -3.11 eV/atom

***

# 8
An optimized crystal structure of Zn2Cu7Ge2Au. Source: Alexandria via LeMat-Bulk, functional PBE.

Geometry as extended XYZ:
```
12
Lattice="2.666 -2.828 0.000 2.666 2.828 0.000 -0.102 0.000 11.385" Properties=species:S:1:pos:R:3 pbc="T T T"
Zn 5.314 0.000 2.107
Zn -0.083 0.000 9.278
Cu -0.051 0.000 5.692
Cu 1.269 1.413 7.542
Cu 1.350 0.000 0.002
Cu 3.962 1.413 3.843
Cu 1.269 -1.413 7.542
Cu 3.880 0.000 11.382
Cu 3.962 -1.413 3.843
Ge 2.581 0.000 9.252
Ge 2.650 0.000 2.132
Au 2.615 0.000 5.692
```

Calculated values
Symmetry ... C2/m, No. 12
Energy of formation from the pure elements ... 47 meV/atom
E_tot ... -3.60 eV/atom

***

| no. | Fermi-level density of states (states/eV/atom) |
| --- | --- |
| 1 | 0.3471 |
| 2 | 0.9345 |
| 3 | 0.3442 |
| 4 | 0.2694 |
| 5 | 0.3453 |
| 6 | 0.3771 |
| 7 | 0.2975 |
| 8 | 0.3407 |